one:
# UTi, relaxed, DFT PBE
# D(E_F), states/eV/cell: 14.351
data_UTi
_symmetry_space_group_name_H-M 'C m c m'
_symmetry_Int_Tables_number 63
_symmetry_space_group_name_Hall '-C 2c 2'
_cell_length_a 2.7906
_cell_length_b 10.8216
_cell_length_c 4.8040
_cell_angle_alpha 90.00
_cell_angle_beta 90.00
_cell_angle_gamma 90.00
loop_
_atom_site_label
_atom_site_type_symbol
_atom_site_fract_x
_atom_site_fract_y
_atom_site_fract_z
_atom_site_occupancy
U1 U 0.0000 0.0537 0.2500 1
Ti1 Ti 0.0000 0.3007 0.2500 1

two:
# UTi, relaxed, DFT PBE
# D(E_F), states/eV/cell: 10.585
data_UTi
_symmetry_space_group_name_H-M 'C m m m'
_symmetry_Int_Tables_number 65
_symmetry_space_group_name_Hall '-C 2 2'
_cell_length_a 2.9811
_cell_length_b 4.9662
_cell_length_c 5.0342
_cell_angle_alpha 90.00
_cell_angle_beta 90.00
_cell_angle_gamma 90.00
loop_
_atom_site_label
_atom_site_type_symbol
_atom_site_fract_x
_atom_site_fract_y
_atom_site_fract_z
_atom_site_occupancy
U1 U 0.0000 0.0000 0.0000 1
Ti1 Ti 0.0000 0.5000 0.5000 1

Least stable: two

one:
# U2Ti, relaxed, DFT PBE
# D(E_F), states/eV/cell: 12.036
data_U2Ti
_symmetry_space_group_name_H-M 'I 4/m m m'
_symmetry_Int_Tables_number 139
_symmetry_space_group_name_Hall '-I 4 2'
_cell_length_a 3.4781
_cell_length_b 3.4781
_cell_length_c 9.6238
_cell_angle_alpha 90.00
_cell_angle_beta 90.00
_cell_angle_gamma 90.00
loop_
_atom_site_label
_atom_site_type_symbol
_atom_site_fract_x
_atom_site_fract_y
_atom_site_fract_z
_atom_site_occupancy
U1 U 0.0000 0.0000 0.1825 1
Ti1 Ti 0.0000 0.0000 0.5000 1

two:
# U2Ti, relaxed, DFT PBE
# D(E_F), states/eV/cell: 5.265
data_U2Ti
_symmetry_space_group_name_H-M 'P 6/m m m'
_symmetry_Int_Tables_number 191
_symmetry_space_group_name_Hall '-P 6 2'
_cell_length_a 4.7727
_cell_length_b 4.7727
_cell_length_c 2.7916
_cell_angle_alpha 90.00
_cell_angle_beta 90.00
_cell_angle_gamma 120.00
loop_
_atom_site_label
_atom_site_type_symbol
_atom_site_fract_x
_atom_site_fract_y
_atom_site_fract_z
_atom_site_occupancy
U1 U 0.3333 0.6667 0.0000 1
Ti1 Ti 0.0000 0.0000 0.5000 1

Least stable: one

one:
# U3Ti, relaxed, DFT PBE
# D(E_F), states/eV/cell: 21.767
data_U3Ti
_symmetry_space_group_name_H-M 'P 63/m m c'
_symmetry_Int_Tables_number 194
_symmetry_space_group_name_Hall '-P 6c 2c'
_cell_length_a 5.8914
_cell_length_b 5.8914
_cell_length_c 5.3082
_cell_angle_alpha 90.00
_cell_angle_beta 90.00
_cell_angle_gamma 120.00
loop_
_atom_site_label
_atom_site_type_symbol
_atom_site_fract_x
_atom_site_fract_y
_atom_site_fract_z
_atom_site_occupancy
U1 U 0.1761 0.3523 0.2500 1
Ti1 Ti 0.3333 0.6667 0.7500 1

two:
# U3Ti, relaxed, DFT PBE
# D(E_F), states/eV/cell: 7.893
data_U3Ti
_symmetry_space_group_name_H-M 'P m m 2'
_symmetry_Int_Tables_number 25
_cell_length_a 2.8051
_cell_length_b 4.9269
_cell_length_c 5.5537
_cell_angle_alpha 90.00
_cell_angle_beta 90.00
_cell_angle_gamma 90.00
loop_
_symmetry_equiv_pos_as_xyz
'x,y,z'
'-x,-y,z'
'-x,y,z'
'x,-y,z'
loop_
_atom_site_label
_atom_site_type_symbol
_atom_site_fract_x
_atom_site_fract_y
_atom_site_fract_z
_atom_site_occupancy
U1 U 0.0000 0.0000 0.0000 1
U2 U 0.0000 0.5000 0.2062 1
U3 U 0.5000 0.5000 0.7003 1
Ti1 Ti 0.5000 0.0000 0.5031 1

Least stable: one

one:
# UTi2V, relaxed, DFT PBE
# D(E_F), states/eV/cell: 7.040
data_UTi2V
_symmetry_space_group_name_H-M 'P 4/m m m'
_symmetry_Int_Tables_number 123
_symmetry_space_group_name_Hall '-P 4 2'
_cell_length_a 3.2157
_cell_length_b 3.2157
_cell_length_c 6.5510
_cell_angle_alpha 90.00
_cell_angle_beta 90.00
_cell_angle_gamma 90.00
loop_
_atom_site_label
_atom_site_type_symbol
_atom_site_fract_x
_atom_site_fract_y
_atom_site_fract_z
_atom_site_occupancy
U1 U 0.0000 0.0000 0.0000 1
Ti1 Ti 0.5000 0.5000 0.2667 1
V1 V 0.0000 0.0000 0.5000 1

two:
# UTi2V, relaxed, DFT PBE
# D(E_F), states/eV/cell: 28.623
data_UTi2V
_symmetry_space_group_name_H-M 'F m -3 m'
_symmetry_Int_Tables_number 225
_symmetry_space_group_name_Hall '-F 4 2 3'
_cell_length_a 6.4577
_cell_length_b 6.4577
_cell_length_c 6.4577
_cell_angle_alpha 90.00
_cell_angle_beta 90.00
_cell_angle_gamma 90.00
loop_
_atom_site_label
_atom_site_type_symbol
_atom_site_fract_x
_atom_site_fract_y
_atom_site_fract_z
_atom_site_occupancy
U1 U 0.0000 0.0000 0.0000 1
Ti1 Ti 0.2500 0.2500 0.2500 1
V1 V 0.0000 0.0000 0.5000 1

Least stable: one

one:
# UTiV, relaxed, DFT PBE
# D(E_F), states/eV/cell: 8.318
data_UTiV
_symmetry_space_group_name_H-M 'P m m a'
_symmetry_Int_Tables_number 51
_cell_length_a 4.7355
_cell_length_b 2.7592
_cell_length_c 7.6473
_cell_angle_alpha 90.00
_cell_angle_beta 90.00
_cell_angle_gamma 90.00
loop_
_symmetry_equiv_pos_as_xyz
'x,y,z'
'-x,-y,-z'
'-x+1/2,-y,z'
'x+1/2,y,-z'
'x+1/2,-y,-z'
'-x+1/2,y,z'
'-x,y,-z'
'x,-y,z'
loop_
_atom_site_label
_atom_site_type_symbol
_atom_site_fract_x
_atom_site_fract_y
_atom_site_fract_z
_atom_site_occupancy
U1 U 0.2500 0.0000 0.0841 1
Ti1 Ti 0.2500 0.5000 0.7212 1
V1 V 0.2500 0.0000 0.4064 1

two:
# UTiV, relaxed, DFT PBE
# D(E_F), states/eV/cell: 3.832
data_UTiV
_symmetry_space_group_name_H-M 'P 3 m 1'
_symmetry_Int_Tables_number 156
_cell_length_a 4.5476
_cell_length_b 4.5476
_cell_length_c 2.7825
_cell_angle_alpha 90.00
_cell_angle_beta 90.00
_cell_angle_gamma 120.00
loop_
_symmetry_equiv_pos_as_xyz
'x,y,z'
'-y,x-y,z'
'-x+y,-x,z'
'-y,-x,z'
'-x+y,y,z'
'x,x-y,z'
loop_
_atom_site_label
_atom_site_type_symbol
_atom_site_fract_x
_atom_site_fract_y
_atom_site_fract_z
_atom_site_occupancy
U1 U 0.0000 0.0000 0.0000 1
Ti1 Ti 0.6667 0.3333 0.4640 1
V1 V 0.3333 0.6667 0.8876 1

Least stable: two

one:
# TiV5, relaxed, DFT PBE
# D(E_F), states/eV/cell: 22.547
data_TiV5
_symmetry_space_group_name_H-M 'C m m m'
_symmetry_Int_Tables_number 65
_symmetry_space_group_name_Hall '-C 2 2'
_cell_length_a 4.3455
_cell_length_b 12.7587
_cell_length_c 3.0435
_cell_angle_alpha 90.00
_cell_angle_beta 90.00
_cell_angle_gamma 90.00
loop_
_atom_site_label
_atom_site_type_symbol
_atom_site_fract_x
_atom_site_fract_y
_atom_site_fract_z
_atom_site_occupancy
Ti1 Ti 0.0000 0.0000 0.0000 1
V1 V 0.0000 0.1767 0.5000 1
V2 V 0.0000 0.3343 0.0000 1
V3 V 0.0000 0.5000 0.5000 1

two:
# TiV5, relaxed, DFT PBE
# D(E_F), states/eV/cell: 8.106
data_TiV5
_symmetry_space_group_name_H-M 'P -1'
_symmetry_Int_Tables_number 2
_cell_length_a 4.1466
_cell_length_b 4.8456
_cell_length_c 5.0512
_cell_angle_alpha 66.18
_cell_angle_beta 68.07
_cell_angle_gamma 70.50
loop_
_symmetry_equiv_pos_as_xyz
'x,y,z'
'-x,-y,-z'
loop_
_atom_site_label
_atom_site_type_symbol
_atom_site_fract_x
_atom_site_fract_y
_atom_site_fract_z
_atom_site_occupancy
Ti1 Ti 0.0000 0.0000 0.0000 1
V1 V 0.0000 0.5000 0.5000 1
V2 V 0.3345 0.3529 0.9992 1
V3 V 0.3406 0.8332 0.4888 1

Least stable: one

one:
# TiV4, relaxed, DFT PBE
# D(E_F), states/eV/cell: 6.534
data_TiV4
_symmetry_space_group_name_H-M 'P m -3 m'
_symmetry_Int_Tables_number 221
_symmetry_space_group_name_Hall '-P 4 2 3'
_cell_length_a 4.3759
_cell_length_b 4.3759
_cell_length_c 4.3759
_cell_angle_alpha 90.00
_cell_angle_beta 90.00
_cell_angle_gamma 90.00
loop_
_atom_site_label
_atom_site_type_symbol
_atom_site_fract_x
_atom_site_fract_y
_atom_site_fract_z
_atom_site_occupancy
Ti1 Ti 0.0000 0.0000 0.0000 1
V1 V 0.0000 0.0000 0.5000 1
V2 V 0.5000 0.5000 0.5000 1

two:
# TiV4, relaxed, DFT PBE
# D(E_F), states/eV/cell: 11.891
data_TiV4
_symmetry_space_group_name_H-M 'I 4/m m m'
_symmetry_Int_Tables_number 139
_symmetry_space_group_name_Hall '-I 4 2'
_cell_length_a 3.5751
_cell_length_b 3.5751
_cell_length_c 11.8636
_cell_angle_alpha 90.00
_cell_angle_beta 90.00
_cell_angle_gamma 90.00
loop_
_atom_site_label
_atom_site_type_symbol
_atom_site_fract_x
_atom_site_fract_y
_atom_site_fract_z
_atom_site_occupancy
Ti1 Ti 0.0000 0.0000 0.0000 1
V1 V 0.0000 0.0000 0.4016 1
V2 V 0.0000 0.5000 0.2500 1

Least stable: one

one:
# TiV2W, relaxed, DFT PBE
# D(E_F), states/eV/cell: 9.217
data_TiV2W
_symmetry_space_group_name_H-M 'I m m m'
_symmetry_Int_Tables_number 71
_symmetry_space_group_name_Hall '-I 2 2'
_cell_length_a 2.6910
_cell_length_b 4.6754
_cell_length_c 10.1063
_cell_angle_alpha 90.00
_cell_angle_beta 90.00
_cell_angle_gamma 90.00
loop_
_atom_site_label
_atom_site_type_symbol
_atom_site_fract_x
_atom_site_fract_y
_atom_site_fract_z
_atom_site_occupancy
Ti1 Ti 0.0000 0.0000 0.0000 1
V1 V 0.0000 0.0000 0.2508 1
W1 W 0.0000 0.0000 0.5000 1

two:
# TiV2W, relaxed, DFT PBE
# D(E_F), states/eV/cell: 6.723
data_TiV2W
_symmetry_space_group_name_H-M 'P 4/m m m'
_symmetry_Int_Tables_number 123
_symmetry_space_group_name_Hall '-P 4 2'
_cell_length_a 4.3790
_cell_length_b 4.3790
_cell_length_c 3.0985
_cell_angle_alpha 90.00
_cell_angle_beta 90.00
_cell_angle_gamma 90.00
loop_
_atom_site_label
_atom_site_type_symbol
_atom_site_fract_x
_atom_site_fract_y
_atom_site_fract_z
_atom_site_occupancy
Ti1 Ti 0.0000 0.0000 0.0000 1
V1 V 0.0000 0.5000 0.5000 1
W1 W 0.5000 0.5000 0.0000 1

Least stable: one

one:
# TiV2W, relaxed, DFT PBE
# D(E_F), states/eV/cell: 21.016
data_TiV2W
_symmetry_space_group_name_H-M 'I -4 2 d'
_symmetry_Int_Tables_number 122
_symmetry_space_group_name_Hall 'I -4 2bw'
_cell_length_a 6.8755
_cell_length_b 6.8755
_cell_length_c 5.3291
_cell_angle_alpha 90.00
_cell_angle_beta 90.00
_cell_angle_gamma 90.00
loop_
_atom_site_label
_atom_site_type_symbol
_atom_site_fract_x
_atom_site_fract_y
_atom_site_fract_z
_atom_site_occupancy
Ti1 Ti 0.0000 0.0000 0.0000 1
V1 V 0.2437 0.2500 0.6250 1
W1 W 0.0000 0.0000 0.5000 1

two:
# TiV2W, relaxed, DFT PBE
# D(E_F), states/eV/cell: 31.797
data_TiV2W
_symmetry_space_group_name_H-M 'F m -3 m'
_symmetry_Int_Tables_number 225
_symmetry_space_group_name_Hall '-F 4 2 3'
_cell_length_a 6.1985
_cell_length_b 6.1985
_cell_length_c 6.1985
_cell_angle_alpha 90.00
_cell_angle_beta 90.00
_cell_angle_gamma 90.00
loop_
_atom_site_label
_atom_site_type_symbol
_atom_site_fract_x
_atom_site_fract_y
_atom_site_fract_z
_atom_site_occupancy
Ti1 Ti 0.0000 0.0000 0.0000 1
V1 V 0.2500 0.2500 0.2500 1
W1 W 0.0000 0.0000 0.5000 1

Least stable: one

one:
# TiV2W3, relaxed, DFT PBE
# D(E_F), states/eV/cell: 13.324
data_TiV2W3
_symmetry_space_group_name_H-M 'C 1 2/m 1'
_symmetry_Int_Tables_number 12
_cell_length_a 9.1706
_cell_length_b 5.3099
_cell_length_c 4.2299
_cell_angle_alpha 90.00
_cell_angle_beta 90.11
_cell_angle_gamma 90.00
loop_
_symmetry_equiv_pos_as_xyz
'x,y,z'
'-x,-y,-z'
'-x,y,-z'
'x,-y,z'
'x+1/2,y+1/2,z'
'-x+1/2,-y+1/2,-z'
'-x+1/2,y+1/2,-z'
'x+1/2,-y+1/2,z'
loop_
_atom_site_label
_atom_site_type_symbol
_atom_site_fract_x
_atom_site_fract_y
_atom_site_fract_z
_atom_site_occupancy
Ti1 Ti 0.0000 0.0000 0.0000 1
V1 V 0.1669 0.5000 0.9998 1
W1 W 0.0000 0.5000 0.5000 1
W2 W 0.2500 0.2500 0.5000 1

two:
# TiV2W3, relaxed, DFT PBE
# D(E_F), states/eV/cell: 29.048
data_TiV2W3
_symmetry_space_group_name_H-M 'C 1 2/m 1'
_symmetry_Int_Tables_number 12
_cell_length_a 12.9561
_cell_length_b 4.4505
_cell_length_c 6.6096
_cell_angle_alpha 90.00
_cell_angle_beta 92.91
_cell_angle_gamma 90.00
loop_
_symmetry_equiv_pos_as_xyz
'x,y,z'
'-x,-y,-z'
'-x,y,-z'
'x,-y,z'
'x+1/2,y+1/2,z'
'-x+1/2,-y+1/2,-z'
'-x+1/2,y+1/2,-z'
'x+1/2,-y+1/2,z'
loop_
_atom_site_label
_atom_site_type_symbol
_atom_site_fract_x
_atom_site_fract_y
_atom_site_fract_z
_atom_site_occupancy
Ti1 Ti 0.1391 0.0000 0.2974 1
V1 V 0.0373 0.5000 0.1864 1
V2 V 0.2398 0.0000 0.6539 1
W1 W 0.0765 0.0000 0.8697 1
W2 W 0.1108 0.5000 0.5768 1
W3 W 0.1938 0.5000 0.9645 1

Least stable: one

one:
# Ti2V5W2, relaxed, DFT PBE
# D(E_F), states/eV/cell: 42.118
data_Ti2V5W2
_symmetry_space_group_name_H-M 'C m c e'
_symmetry_Int_Tables_number 64
_symmetry_space_group_name_Hall '-C 2ac 2'
_cell_length_a 12.8952
_cell_length_b 7.6350
_cell_length_c 5.7241
_cell_angle_alpha 90.00
_cell_angle_beta 90.00
_cell_angle_gamma 90.00
loop_
_atom_site_label
_atom_site_type_symbol
_atom_site_fract_x
_atom_site_fract_y
_atom_site_fract_z
_atom_site_occupancy
Ti1 Ti 0.2040 0.0000 0.0000 1
V1 V 0.0000 0.0000 0.0000 1
V2 V 0.1535 0.2008 0.3250 1
W1 W 0.0000 0.1596 0.6068 1

two:
# Ti2V5W2, relaxed, DFT PBE
# D(E_F), states/eV/cell: 10.332
data_Ti2V5W2
_symmetry_space_group_name_H-M 'P -1'
_symmetry_Int_Tables_number 2
_cell_length_a 3.0490
_cell_length_b 5.0779
_cell_length_c 9.3904
_cell_angle_alpha 85.51
_cell_angle_beta 80.80
_cell_angle_gamma 72.60
loop_
_symmetry_equiv_pos_as_xyz
'x,y,z'
'-x,-y,-z'
loop_
_atom_site_label
_atom_site_type_symbol
_atom_site_fract_x
_atom_site_fract_y
_atom_site_fract_z
_atom_site_occupancy
Ti1 Ti 0.2295 0.1998 0.3393 1
V1 V 0.0015 0.7920 0.2027 1
V2 V 0.4676 0.6594 0.4044 1
V3 V 0.5000 0.0000 0.0000 1
W1 W 0.2532 0.6051 0.8892 1

Least stable: one

one:
# Ti2V2W3, relaxed, DFT PBE
# D(E_F), states/eV/cell: 20.959
data_Ti2V2W3
_symmetry_space_group_name_H-M 'C 1 2/m 1'
_symmetry_Int_Tables_number 12
_cell_length_a 7.6981
_cell_length_b 4.4488
_cell_length_c 6.8146
_cell_angle_alpha 90.00
_cell_angle_beta 112.18
_cell_angle_gamma 90.00
loop_
_symmetry_equiv_pos_as_xyz
'x,y,z'
'-x,-y,-z'
'-x,y,-z'
'x,-y,z'
'x+1/2,y+1/2,z'
'-x+1/2,-y+1/2,-z'
'-x+1/2,y+1/2,-z'
'x+1/2,-y+1/2,z'
loop_
_atom_site_label
_atom_site_type_symbol
_atom_site_fract_x
_atom_site_fract_y
_atom_site_fract_z
_atom_site_occupancy
Ti1 Ti 0.0750 0.0000 0.2252 1
V1 V 0.2132 0.0000 0.6396 1
W1 W 0.0000 0.5000 0.5000 1
W2 W 0.1449 0.5000 0.9346 1

two:
# Ti2V2W3, relaxed, DFT PBE
# D(E_F), states/eV/cell: 7.756
data_Ti2V2W3
_symmetry_space_group_name_H-M 'P -1'
_symmetry_Int_Tables_number 2
_cell_length_a 3.1424
_cell_length_b 5.2141
_cell_length_c 7.0562
_cell_angle_alpha 81.05
_cell_angle_beta 89.93
_cell_angle_gamma 72.52
loop_
_symmetry_equiv_pos_as_xyz
'x,y,z'
'-x,-y,-z'
loop_
_atom_site_label
_atom_site_type_symbol
_atom_site_fract_x
_atom_site_fract_y
_atom_site_fract_z
_atom_site_occupancy
Ti1 Ti 0.0670 0.3661 0.2031 1
V1 V 0.3399 0.8203 0.0757 1
W1 W 0.2132 0.0735 0.6425 1
W2 W 0.5000 0.5000 0.5000 1

Least stable: two